Sm7Hg2Pt2: optimized geometry, PBE.

a b c (Å): 6.9582 7.2591 6.9582
angles (deg): 90.00 107.21 90.00
Last column: nearest neighbours and their distance in Å.
Element x y z (fractional)
Hg: 0.8212 0.5000 0.8212  1 Hg 2.95, 2 Sm 3.21
Hg: 0.1788 0.5000 0.1788  1 Hg 2.95, 2 Sm 3.21
Sm: 0.5002 0.7498 0.4998  2 Pt 2.98, 2 Hg 3.21
Sm: 0.0002 0.7442 0.4997  2 Pt 2.81
Sm: 0.4998 0.2502 0.5002  2 Pt 2.98, 2 Hg 3.21
Sm: 0.4997 0.2558 0.0002  2 Pt 2.81
Sm: 0.9998 0.2558 0.5003  2 Pt 2.81
Sm: 0.5003 0.7442 0.9998  2 Pt 2.81
Sm: 0.0000 0.0000 0.0000  2 Pt 3.24
Pt: 0.7111 0.0000 0.2889  6 Sm 2.81-2.98
Pt: 0.2889 0.0000 0.7111  6 Sm 2.81-2.98

Volume, Å³/f.u.: 336
Magnetic moment, Bohr magnetons per cell: 0.00
Calculated formation energy, eV/atom: -0.50
Energy, eV/atom: -4.660
SG: Cmmm